VASP calculation (PBE) on an optimized crystal structure of Na2GaAgHg.

Lattice parameters (Å, degrees): 5.624 5.624 5.167 90.00 90.00 90.00
Atoms (fractional coordinates):
Na (0.000, 0.500, 0.000)
Na (0.500, 0.000, 0.000)
Ga (0.000, 0.000, 0.500)
Ag (0.500, 0.500, 0.500)
Hg (0.000, 0.000, 0.000)

Formation energy from the elements = 0.27 eV/atom